PBE NaUZn, optimized geometry; ΔE to the lowest computed polymorph = 0.0 kJ/mol of atoms; total energy = -3.65 eV/atom
1.0
-0.717 -4.818 -0.140
-1.770 -2.314 3.906
-4.533 -1.787 -0.073
U Na Zn
1 1 1
Direct
0.750 0.750 0.750 U
0.250 0.250 0.250 Na
0.000 0.000 0.000 Zn